# 1
First-principles (PBE) data for BeSnSe2 after structural relaxation, as listed in the Alexandria database.

The structure in POSCAR format:
```
BeSnSe2
1.0
-5.866 -0.873 -3.084
-3.063 -0.366 5.931
-5.051 3.495 1.375
Sn Se Be
2 4 2
Cartesian
-7.691 1.001 -0.143
0.000 0.000 0.000
-11.333 1.569 3.001
-4.426 0.459 3.394
-4.797 0.359 -0.572
-7.406 2.124 2.619
-6.290 1.254 4.364
-4.465 -0.620 1.423
```

- DOS(E_F) (states/eV per cell) = 0.00
- energy relative to the elements, uncorrected (meV per atom) = -431

# 2
First-principles (PBE) data for BeSnSe2 after structural relaxation, as listed in the Alexandria database.

The structure in POSCAR format:
```
BeSnSe2
1.0
1.967 0.000 8.468
-0.984 1.704 8.468
-0.984 -1.704 8.468
Sn Se Be
1 2 1
Cartesian
0.000 0.000 0.000
0.000 0.000 22.511
0.000 0.000 2.891
0.000 0.000 12.701
```

- DOS(E_F) (states/eV per cell) = 2.65
- energy relative to the elements, uncorrected (meV per atom) = -160

Which value of energy relative to the elements, uncorrected does entry 2 give?
-160 meV per atom